Entry 1:
A relaxed GeBr2O crystal, computed with PBE.

abc: 5.986 7.202 7.252
angles: 69.78 66.82 66.80
Space group P1 (No. 1)
One atom of each set of equivalent atoms:
Ge 0.000 0.000 0.000
Ge 0.497 0.906 0.099
Br 0.035 0.238 0.690
Br 0.169 0.651 0.993
Br 0.517 0.607 0.355
Br 0.675 0.871 0.760
O 0.165 0.046 0.133
O 0.665 0.046 0.134

- Energy: -4.14 eV/atom
- V: 257.4 Å³ per cell
- Raw formation energy: -906 meV/atom
- Excess energy over the best structure of this formula in the dataset: 0.0 meV per atom

Entry 2:
A relaxed NbBiPS2 crystal, computed with PBE.

abc: 5.103 5.103 5.163
angles: 90.00 90.00 90.00
Space group P4/mmm (No. 123)
One atom of each set of equivalent atoms:
Nb 0.000 0.000 0.000
Bi 0.500 0.500 0.500
P 0.500 0.500 0.000
S 0.000 0.500 0.500

- Energy: -4.34 eV/atom
- V: 134.4 Å³ per cell
- Raw formation energy: 1188 meV/atom
- Excess energy over the best structure of this formula in the dataset: 1232.0 meV per atom

Entry 3:
A relaxed PrGa4Pd6 crystal, computed with PBE.

abc: 7.3681 7.3681 3.9711
angles: 90.00 90.00 120.00
Space group P-6m2 (No. 187)
One atom of each set of equivalent atoms:
Pr 0.0000 0.0000 0.0000
Ga 0.2004 0.4009 0.5000
Ga 0.6667 0.3333 0.0000
Pd 0.0676 0.5338 0.0000
Pd 0.3994 0.1997 0.5000

- Energy: -5.13 eV/atom
- E_form: -0.759 eV per atom
- V: 186.7 Å³ per cell

Entry 4:
A relaxed SrCo4Tc crystal, computed with PBE.

abc: 7.099 7.099 7.099
angles: 90.00 90.00 90.00
Space group F-43m (No. 216)
One atom of each set of equivalent atoms:
Sr 0.000 0.000 0.000
Co 0.123 0.123 0.377
Tc 0.250 0.250 0.750

- Energy: -6.25 eV/atom
- E_form: 0.499 eV per atom
- V: 357.7 Å³ per cell

- Which of these has the lowest V?
  NbBiPS2

- Look up the energy of the fourth one.
  -6.25 eV/atom